(1)
# LiNdAlCd (GGA-PBE, relaxed)
# calculated formation energy: -0.271 eV/atom
# space group: F-43m
data_LiNdAlCd
_cell_length_a 7.0056
_cell_length_b 7.0056
_cell_length_c 7.0056
_cell_angle_alpha 90.00
_cell_angle_beta 90.00
_cell_angle_gamma 90.00
_symmetry_space_group_name_H-M 'P 1'
_symmetry_Int_Tables_number 1
loop_
_symmetry_equiv_pos_as_xyz
'x,y,z'
loop_
_atom_site_label
_atom_site_type_symbol
_atom_site_fract_x
_atom_site_fract_y
_atom_site_fract_z
_atom_site_occupancy
Li1 Li 0.0000 0.0000 0.0000 1
Li2 Li 0.0000 0.5000 0.5000 1
Li3 Li 0.5000 0.0000 0.5000 1
Li4 Li 0.5000 0.5000 0.0000 1
Nd1 Nd 0.2500 0.2500 0.2500 1
Nd2 Nd 0.2500 0.7500 0.7500 1
Nd3 Nd 0.7500 0.2500 0.7500 1
Nd4 Nd 0.7500 0.7500 0.2500 1
Al1 Al 0.0000 0.0000 0.5000 1
Al2 Al 0.0000 0.5000 0.0000 1
Al3 Al 0.5000 0.0000 0.0000 1
Al4 Al 0.5000 0.5000 0.5000 1
Cd1 Cd 0.2500 0.2500 0.7500 1
Cd2 Cd 0.2500 0.7500 0.2500 1
Cd3 Cd 0.7500 0.2500 0.2500 1
Cd4 Cd 0.7500 0.7500 0.7500 1

(2)
# Nd3ZnPt2 (GGA-PBE, relaxed)
# calculated formation energy: -0.840 eV/atom
# space group: Pnma
data_Nd3ZnPt2
_cell_length_a 12.2802
_cell_length_b 4.0693
_cell_length_c 12.1720
_cell_angle_alpha 90.00
_cell_angle_beta 90.00
_cell_angle_gamma 90.00
_symmetry_space_group_name_H-M 'P 1'
_symmetry_Int_Tables_number 1
loop_
_symmetry_equiv_pos_as_xyz
'x,y,z'
loop_
_atom_site_label
_atom_site_type_symbol
_atom_site_fract_x
_atom_site_fract_y
_atom_site_fract_z
_atom_site_occupancy
Nd1 Nd 0.0534 0.2500 0.1271 1
Nd2 Nd 0.1317 0.7500 0.5723 1
Nd3 Nd 0.2065 0.2500 0.8205 1
Nd4 Nd 0.2935 0.7500 0.3205 1
Nd5 Nd 0.3683 0.2500 0.0723 1
Nd6 Nd 0.4466 0.7500 0.6271 1
Nd7 Nd 0.5534 0.2500 0.3729 1
Nd8 Nd 0.6317 0.7500 0.9277 1
Nd9 Nd 0.7065 0.2500 0.6795 1
Nd10 Nd 0.7935 0.7500 0.1795 1
Nd11 Nd 0.8683 0.2500 0.4277 1
Nd12 Nd 0.9466 0.7500 0.8729 1
Zn1 Zn 0.1195 0.2500 0.3775 1
Zn2 Zn 0.3805 0.7500 0.8775 1
Zn3 Zn 0.6195 0.2500 0.1225 1
Zn4 Zn 0.8805 0.7500 0.6225 1
Pt1 Pt 0.0050 0.7500 0.3086 1
Pt2 Pt 0.1854 0.7500 0.9935 1
Pt3 Pt 0.3146 0.2500 0.4935 1
Pt4 Pt 0.4950 0.2500 0.8086 1
Pt5 Pt 0.5050 0.7500 0.1914 1
Pt6 Pt 0.6854 0.7500 0.5065 1
Pt7 Pt 0.8146 0.2500 0.0065 1
Pt8 Pt 0.9950 0.2500 0.6914 1

(3)
# Sn4Pb5 (GGA-PBE, relaxed)
# calculated formation energy: 0.070 eV/atom
# space group: C2/m
# energy above the most stable polymorph in this dataset: 32 meV per atom
data_Sn4Pb5
_cell_length_a 6.8438
_cell_length_b 6.8438
_cell_length_c 13.2534
_cell_angle_alpha 111.13
_cell_angle_beta 111.13
_cell_angle_gamma 29.16
_symmetry_space_group_name_H-M 'P 1'
_symmetry_Int_Tables_number 1
loop_
_symmetry_equiv_pos_as_xyz
'x,y,z'
loop_
_atom_site_label
_atom_site_type_symbol
_atom_site_fract_x
_atom_site_fract_y
_atom_site_fract_z
_atom_site_occupancy
Sn1 Sn 0.0663 0.0663 0.3176 1
Sn2 Sn 0.1119 0.1119 0.0970 1
Sn3 Sn 0.8881 0.8881 0.9030 1
Sn4 Sn 0.9337 0.9337 0.6824 1
Pb1 Pb 0.2169 0.2169 0.6811 1
Pb2 Pb 0.3711 0.3711 0.1211 1
Pb3 Pb 0.5000 0.5000 0.5000 1
Pb4 Pb 0.6289 0.6289 0.8789 1
Pb5 Pb 0.7831 0.7831 0.3189 1

(4)
# La3TeO3 (GGA-PBE, relaxed)
# formation energy from raw total energies: -20.200 eV per formula unit
# space group: R-3
# energy above the most stable polymorph in this dataset: 0 meV per atom
data_La3TeO3
_cell_length_a 8.6804
_cell_length_b 8.6804
_cell_length_c 8.6804
_cell_angle_alpha 48.43
_cell_angle_beta 48.43
_cell_angle_gamma 48.43
_symmetry_space_group_name_H-M 'P 1'
_symmetry_Int_Tables_number 1
loop_
_symmetry_equiv_pos_as_xyz
'x,y,z'
loop_
_atom_site_label
_atom_site_type_symbol
_atom_site_fract_x
_atom_site_fract_y
_atom_site_fract_z
_atom_site_occupancy
La1 La 0.0628 0.7294 0.4012 1
La2 La 0.2706 0.5988 0.9372 1
La3 La 0.4012 0.0628 0.7294 1
La4 La 0.5988 0.9372 0.2706 1
La5 La 0.7294 0.4012 0.0628 1
La6 La 0.9372 0.2706 0.5988 1
Te1 Te 0.1662 0.1662 0.1662 1
Te2 Te 0.8338 0.8338 0.8338 1
O1 O 0.0402 0.3678 0.7120 1
O2 O 0.2880 0.9598 0.6322 1
O3 O 0.3678 0.7119 0.0402 1
O4 O 0.6322 0.2880 0.9598 1
O5 O 0.7120 0.0402 0.3678 1
O6 O 0.9598 0.6322 0.2880 1

(5)
# Al2SiI (GGA-PBE, relaxed)
# formation energy from raw total energies: 2.420 eV per formula unit
# space group: Fm-3m
# energy above the most stable polymorph in this dataset: 356 meV per atom
data_Al2SiI
_cell_length_a 6.9993
_cell_length_b 6.9993
_cell_length_c 6.9993
_cell_angle_alpha 90.00
_cell_angle_beta 90.00
_cell_angle_gamma 90.00
_symmetry_space_group_name_H-M 'P 1'
_symmetry_Int_Tables_number 1
loop_
_symmetry_equiv_pos_as_xyz
'x,y,z'
loop_
_atom_site_label
_atom_site_type_symbol
_atom_site_fract_x
_atom_site_fract_y
_atom_site_fract_z
_atom_site_occupancy
Al1 Al 0.2500 0.2500 0.2500 1
Al2 Al 0.2500 0.2500 0.7500 1
Al3 Al 0.2500 0.7500 0.2500 1
Al4 Al 0.2500 0.7500 0.7500 1
Al5 Al 0.7500 0.2500 0.2500 1
Al6 Al 0.7500 0.2500 0.7500 1
Al7 Al 0.7500 0.7500 0.2500 1
Al8 Al 0.7500 0.7500 0.7500 1
Si1 Si 0.0000 0.0000 0.0000 1
Si2 Si 0.0000 0.5000 0.5000 1
Si3 Si 0.5000 0.0000 0.5000 1
Si4 Si 0.5000 0.5000 0.0000 1
I1 I 0.0000 0.0000 0.5000 1
I2 I 0.0000 0.5000 0.0000 1
I3 I 0.5000 0.0000 0.0000 1
I4 I 0.5000 0.5000 0.5000 1

(6)
# NaSbSe2N (GGA-PBE, relaxed)
# formation energy from raw total energies: 5.313 eV per formula unit
# space group: P4/mmm
# energy above the most stable polymorph in this dataset: 704 meV per atom
data_NaSbSe2N
_cell_length_a 5.2693
_cell_length_b 5.2693
_cell_length_c 4.2211
_cell_angle_alpha 90.00
_cell_angle_beta 90.00
_cell_angle_gamma 90.00
_symmetry_space_group_name_H-M 'P 1'
_symmetry_Int_Tables_number 1
loop_
_symmetry_equiv_pos_as_xyz
'x,y,z'
loop_
_atom_site_label
_atom_site_type_symbol
_atom_site_fract_x
_atom_site_fract_y
_atom_site_fract_z
_atom_site_occupancy
Na1 Na 0.0000 0.0000 0.0000 1
Sb1 Sb 0.5000 0.5000 0.5000 1
Se1 Se 0.0000 0.5000 0.0000 1
Se2 Se 0.5000 0.0000 0.0000 1
N1 N 0.0000 0.0000 0.5000 1

Sequential theoretical density output: 5.61, 9.70, 8.94, 5.86, 4.05, 4.49 g/cm³
Sequential VASP energy output: -3.11, -5.45, -3.77, -7.57, -3.01, -3.08 eV per atom